1.
Below is a relaxed AgSeCl4 crystal, with properties calculated at the GGA-PBE level.

Output
V = 344 Å³ per cell
Magnetic moment = 0.0 μB/f.u.
Total DFT energy (no corrections) = -31.0 eV per cell

Cell: 7.2161 6.8281 8.5370 Å, 103.45 105.33 113.32°
Positions (direct):
Se (0.8242, 0.0742, 0.1483)
Se (0.1758, 0.9258, 0.8517)
Cl (0.2837, 0.0423, 0.6402)
Cl (0.7163, 0.9577, 0.3598)
Cl (0.5036, 0.2847, 0.0924)
Cl (0.4964, 0.7153, 0.9076)
Cl (0.0888, 0.8077, 0.0924)
Cl (0.8565, 0.5979, 0.6402)
Cl (0.9112, 0.1923, 0.9076)
Cl (0.1435, 0.4021, 0.3598)
Ag (0.6791, 0.4291, 0.8581)
Ag (0.3209, 0.5709, 0.1419)

---

2.
Below is a relaxed SiAg5Se4Cl2 crystal, with properties calculated at the GGA-PBE level.

Output
V = 292 Å³ per cell
Magnetic moment = 0.0 μB/f.u.
Total DFT energy (no corrections) = -40.7 eV per cell

Cell: 6.4734 6.5661 7.9008 Å, 90.00 90.00 119.53°
Positions (direct):
Se (0.3987, 0.3204, 0.0000)
Se (0.6549, 0.0000, 0.7592)
Se (0.6549, 0.0000, 0.2408)
Se (0.0783, 0.6796, 0.0000)
Si (0.4573, 0.0000, 0.0000)
Ag (0.0816, 0.3894, 0.7703)
Ag (0.6922, 0.6106, 0.2297)
Ag (0.6922, 0.6106, 0.7703)
Ag (0.0816, 0.3894, 0.2297)
Ag (0.3946, 0.0000, 0.5000)
Cl (0.2785, 0.3378, 0.5000)
Cl (0.9407, 0.6622, 0.5000)

---

3.
Below is a relaxed TaAg5Se4Cl2 crystal, with properties calculated at the GGA-PBE level.

Output
V = 303 Å³ per cell
Magnetic moment = 0.0 μB/f.u.
Total DFT energy (no corrections) = -48.0 eV per cell

Cell: 6.5563 6.8663 7.6596 Å, 90.00 90.00 118.52°
Positions (direct):
Ag (0.6960, 0.6290, 0.2241)
Ag (0.0670, 0.3710, 0.7759)
Ag (0.0670, 0.3710, 0.2241)
Ag (0.3656, 0.0000, 0.5000)
Ag (0.6960, 0.6290, 0.7759)
Se (0.3952, 0.3240, 0.0000)
Se (0.6679, 0.0000, 0.2606)
Se (0.0712, 0.6760, 0.0000)
Se (0.6679, 0.0000, 0.7394)
Cl (0.9519, 0.6478, 0.5000)
Cl (0.3040, 0.3522, 0.5000)
Ta (0.4558, 0.0000, 0.0000)

---

4.
Below is a relaxed Ag7TeSe2Cl2 crystal, with properties calculated at the GGA-PBE level.

Output
V = 300 Å³ per cell
Magnetic moment = 0.0 μB/f.u.
Total DFT energy (no corrections) = -35.6 eV per cell

Cell: 4.3477 6.3324 11.5375 Å, 105.93 100.86 90.00°
Positions (direct):
Se (0.6044, 0.7036, 0.2088)
Se (0.3956, 0.4948, 0.7912)
Ag (0.7195, 0.7200, 0.4389)
Ag (0.5925, 0.1159, 0.1851)
Ag (0.5000, 0.3584, 0.0000)
Ag (0.9136, 0.2880, 0.8272)
Ag (0.4075, 0.9308, 0.8149)
Ag (0.2805, 0.2811, 0.5611)
Ag (0.0864, 0.4607, 0.1728)
Cl (0.7132, 0.2784, 0.4264)
Cl (0.2868, 0.8519, 0.5736)
Te (0.0000, 0.0162, 0.0000)

---

5.
Below is a relaxed Ag5TeSe4Cl2 crystal, with properties calculated at the GGA-PBE level.

Output
V = 304 Å³ per cell
Magnetic moment = 0.0 μB/f.u.
Total DFT energy (no corrections) = -36.7 eV per cell

Cell: 6.4826 6.7615 7.9070 Å, 90.00 90.00 118.64°
Positions (direct):
Cl (0.9395, 0.6349, 0.5000)
Cl (0.3045, 0.3651, 0.5000)
Te (0.5153, 0.0000, 0.0000)
Ag (0.0588, 0.3808, 0.2294)
Ag (0.0588, 0.3808, 0.7706)
Ag (0.3302, 0.0000, 0.5000)
Ag (0.6780, 0.6192, 0.7706)
Ag (0.6780, 0.6192, 0.2294)
Se (0.0750, 0.6689, 0.0000)
Se (0.6807, 0.0000, 0.6843)
Se (0.6807, 0.0000, 0.3157)
Se (0.4062, 0.3311, 0.0000)

---

6.
Below is a relaxed TlAgSeCl6 crystal, with properties calculated at the GGA-PBE level.

Output
V = 280 Å³ per cell
Magnetic moment = 0.0 μB/f.u.
Total DFT energy (no corrections) = -24.3 eV per cell

Cell: 6.9056 6.9092 6.7826 Å, 90.05 90.01 59.96°
Positions (direct):
Cl (0.3504, 0.0358, 0.7073)
Cl (0.6138, 0.0360, 0.2922)
Cl (0.3502, 0.6138, 0.2927)
Cl (0.0356, 0.3505, 0.2924)
Cl (0.6138, 0.3501, 0.7076)
Cl (0.0357, 0.6139, 0.7078)
Tl (0.0001, 0.0000, 0.0000)
Se (0.3335, 0.3333, 0.5001)
Ag (0.6667, 0.6667, 0.5000)

---

7.
Below is a relaxed TlAg2SeCl crystal, with properties calculated at the GGA-PBE level.

Output
V = 280 Å³ per cell
Magnetic moment = 0.0 μB/f.u.
Total DFT energy (no corrections) = -30.3 eV per cell

Cell: 4.4951 7.4616 8.6237 Å, 104.80 90.00 90.00°
Positions (direct):
Se (0.7500, 0.7683, 0.9671)
Se (0.2500, 0.2317, 0.0329)
Cl (0.7500, 0.6790, 0.4330)
Cl (0.2500, 0.3210, 0.5670)
Tl (0.2500, 0.9385, 0.2432)
Tl (0.7500, 0.0615, 0.7568)
Ag (0.7500, 0.5243, 0.6883)
Ag (0.7500, 0.4337, 0.0725)
Ag (0.2500, 0.4757, 0.3117)
Ag (0.2500, 0.5663, 0.9275)

---

8.
Below is a relaxed Tl2AgSeCl6 crystal, with properties calculated at the GGA-PBE level.

Output
V = 606 Å³ per cell
Magnetic moment = 0.9 μB/f.u.
Total DFT energy (no corrections) = -56.0 eV per cell

Cell: 7.1607 7.6878 11.0054 Å, 90.00 90.00 90.00°
Positions (direct):
Cl (0.7636, 0.5055, 0.0000)
Cl (0.0000, 0.7808, 0.7231)
Cl (0.2636, 0.4945, 0.5000)
Cl (0.2574, 0.0463, 0.5000)
Cl (0.2364, 0.5055, 0.0000)
Cl (0.7426, 0.0463, 0.5000)
Cl (0.2426, 0.9537, 0.0000)
Cl (0.7574, 0.9537, 0.0000)
Cl (0.5000, 0.2192, 0.2231)
Cl (0.5000, 0.2192, 0.7769)
Cl (0.0000, 0.7808, 0.2769)
Cl (0.7364, 0.4945, 0.5000)
Se (0.5000, 0.2820, 0.5000)
Se (0.0000, 0.7180, 0.0000)
Ag (0.0000, 0.7692, 0.5000)
Ag (0.5000, 0.2308, 0.0000)
Tl (0.5000, 0.8141, 0.2325)
Tl (0.0000, 0.1859, 0.2675)
Tl (0.0000, 0.1859, 0.7325)
Tl (0.5000, 0.8141, 0.7675)